Entry from Alexandria via LeMat-Bulk: a relaxed MnAlClO2 crystal (GGA+U).

a = 3.686 Å, b = 6.202 Å, c = 7.320 Å
α = 97.53°, β = 90.00°, γ = 90.00°
Each line ends with the local moment (μB).
Sites, in units of the cell vectors:
Mn  0.750  0.203  0.580  4.63
Mn  0.250  0.797  0.420  4.63
Al  0.250  0.970  0.854  0.01
Al  0.750  0.030  0.146  0.01
Cl  0.750  0.395  0.287  0.02
Cl  0.250  0.605  0.713  0.02
O  0.750  0.000  0.891  0.01
O  0.250  0.000  0.109  0.01
O  0.250  0.091  0.643  0.06
O  0.750  0.909  0.357  0.06

Output
calculated density	2.99	g/cm³
space-group type	No. 11
total energy	-66.75	eV/cell
DOS(E_F)	0.000	states/eV/f.u.